(1)
PBE with a Hubbard U Li4MnCo2O7, optimized geometry; total moment = 14.01 μB per cell
1.0
2.603 -9.937 0.000
2.603 9.937 0.000
-1.984 0.000 4.787
Li Mn Co O
8 2 4 14
direct
0.000 0.000 0.000 Li
0.070 0.930 0.500 Li
0.214 0.786 0.500 Li
0.359 0.641 0.500 Li
0.500 0.500 0.500 Li
0.641 0.359 0.500 Li
0.786 0.214 0.500 Li
0.930 0.070 0.500 Li
0.287 0.713 0.000 Mn
0.713 0.287 0.000 Mn
0.142 0.858 0.000 Co
0.429 0.571 0.000 Co
0.571 0.429 0.000 Co
0.858 0.142 0.000 Co
0.010 0.438 0.233 O
0.131 0.411 0.766 O
0.184 0.333 0.205 O
0.287 0.287 0.767 O
0.333 0.184 0.205 O
0.411 0.131 0.766 O
0.438 0.010 0.233 O
0.562 0.990 0.767 O
0.589 0.869 0.234 O
0.667 0.816 0.795 O
0.713 0.713 0.233 O
0.816 0.667 0.795 O
0.869 0.589 0.234 O
0.990 0.562 0.767 O

(2)
PBE with a Hubbard U Li2Mn3CoO8, optimized geometry; total moment = 12.00 μB per cell
1.0
5.823 0.000 0.000
0.000 5.833 0.000
-0.027 0.000 8.429
Li Mn Co O
4 6 2 16
direct
0.242 0.000 0.114 Li
0.254 0.500 0.385 Li
0.746 0.500 0.615 Li
0.758 0.000 0.886 Li
0.000 0.500 0.000 Mn
0.247 0.253 0.743 Mn
0.247 0.747 0.743 Mn
0.500 0.000 0.500 Mn
0.753 0.253 0.257 Mn
0.753 0.747 0.257 Mn
0.000 0.000 0.500 Co
0.500 0.500 0.000 Co
0.026 0.000 0.729 O
0.030 0.500 0.736 O
0.238 0.265 0.969 O
0.238 0.735 0.969 O
0.253 0.217 0.511 O
0.253 0.783 0.511 O
0.465 0.500 0.743 O
0.475 0.000 0.731 O
0.525 0.000 0.269 O
0.535 0.500 0.257 O
0.747 0.217 0.489 O
0.747 0.783 0.489 O
0.762 0.265 0.031 O
0.762 0.735 0.031 O
0.970 0.500 0.264 O
0.974 0.000 0.271 O

Calculated E above lowest polymorph, 82; 47 meV per atom (same order as the records).